{"formula": "ZnRhI2O", "functional": "GGA-PBE", "state": "optimized geometry", "lattice": [[5.700, 0.000, 0.000], [0.000, 5.700, 0.000], [0.000, 0.000, 3.586]], "species": ["I", "I", "Zn", "Rh", "O"], "fractional_positions": [[0.000, 0.500, 0.000], [0.500, 0.000, 0.000], [0.000, 0.000, 0.000], [0.500, 0.500, 0.500], [0.000, 0.000, 0.500]], "n_ef_per_ev_cell": 8.39, "e_form_raw_mev_per_atom": 316.8, "spacegroup": "No. 123", "magmom_total_mub_per_atom": 0.48}